Record 1
# ScCrOs, relaxed, DFT GGA-PBE
# ρ, g cm⁻³: 9.52
# Crystal system: orthorhombic
# Excess energy over the best structure of this formula in the dataset, kJ/mol of formula units: 67
data_ScCrOs
_chemical_formula_sum 'Sc4 Cr4 Os4'
_symmetry_space_group_name_H-M 'I m a 2'
_symmetry_Int_Tables_number 46
_cell_length_a 4.312
_cell_length_b 7.304
_cell_length_c 6.360
_cell_angle_alpha 90.00
_cell_angle_beta 90.00
_cell_angle_gamma 90.00
loop_
_symmetry_equiv_pos_as_xyz
'x,y,z'
'-x,-y,z'
'-x+1/2,y,z'
'x+1/2,-y,z'
'x+1/2,y+1/2,z+1/2'
'-x+1/2,-y+1/2,z+1/2'
'-x,y+1/2,z+1/2'
'x,-y+1/2,z+1/2'
loop_
_atom_site_label
_atom_site_type_symbol
_atom_site_fract_x
_atom_site_fract_y
_atom_site_fract_z
_atom_site_occupancy
Sc1 Sc 0.250 0.191 0.000 1
Cr1 Cr 0.250 0.592 0.179 1
Os1 Os 0.250 0.597 0.819 1


Record 2
# Be2SbTe, relaxed, DFT GGA-PBE
# ρ, g cm⁻³: 5.94
# Crystal system: trigonal
# Excess energy over the best structure of this formula in the dataset, kJ/mol of formula units: 99
# Raw formation energy, eV per atom: 0.28
data_Be2SbTe
_chemical_formula_sum 'Be6 Sb3 Te3'
_symmetry_space_group_name_H-M 'R -3 m'
_symmetry_Int_Tables_number 166
_symmetry_space_group_name_Hall '-R 3 2"'
_cell_length_a 3.7516
_cell_length_b 3.7516
_cell_length_c 18.4010
_cell_angle_alpha 90.00
_cell_angle_beta 90.00
_cell_angle_gamma 120.00
loop_
_atom_site_label
_atom_site_type_symbol
_atom_site_fract_x
_atom_site_fract_y
_atom_site_fract_z
_atom_site_occupancy
Be1 Be 0.0000 0.0000 0.2503 1
Sb1 Sb 0.0000 0.0000 0.5000 1
Te1 Te 0.0000 0.0000 0.0000 1


Record 3
# Pm6Ho3ErTm2, relaxed, DFT GGA-PBE
# ρ, g cm⁻³: 8.02
# Crystal system: monoclinic
data_Pm6Ho3ErTm2
_chemical_formula_sum 'Pm12 Ho6 Er2 Tm4'
_symmetry_space_group_name_H-M 'C 1 2/m 1'
_symmetry_Int_Tables_number 12
_cell_length_a 6.215
_cell_length_b 10.764
_cell_length_c 11.752
_cell_angle_alpha 90.00
_cell_angle_beta 100.12
_cell_angle_gamma 90.00
loop_
_symmetry_equiv_pos_as_xyz
'x,y,z'
'-x,-y,-z'
'-x,y,-z'
'x,-y,z'
'x+1/2,y+1/2,z'
'-x+1/2,-y+1/2,-z'
'-x+1/2,y+1/2,-z'
'x+1/2,-y+1/2,z'
loop_
_atom_site_label
_atom_site_type_symbol
_atom_site_fract_x
_atom_site_fract_y
_atom_site_fract_z
_atom_site_occupancy
Pm1 Pm 0.250 0.000 0.249 1
Pm2 Pm 0.250 0.167 0.751 1
Ho1 Ho 0.000 0.000 0.500 1
Ho2 Ho 0.000 0.333 0.500 1
Er1 Er 0.000 0.500 0.000 1
Tm1 Tm 0.000 0.167 0.000 1


Record 4
# BaCu5Si2, relaxed, DFT GGA-PBE
# ρ, g cm⁻³: 6.08
# Crystal system: orthorhombic
# Raw formation energy, eV per atom: -0.13
data_BaCu5Si2
_chemical_formula_sum 'Ba2 Cu10 Si4'
_symmetry_space_group_name_H-M 'I m m m'
_symmetry_Int_Tables_number 71
_symmetry_space_group_name_Hall '-I 2 2'
_cell_length_a 4.051
_cell_length_b 6.872
_cell_length_c 10.028
_cell_angle_alpha 90.00
_cell_angle_beta 90.00
_cell_angle_gamma 90.00
loop_
_atom_site_label
_atom_site_type_symbol
_atom_site_fract_x
_atom_site_fract_y
_atom_site_fract_z
_atom_site_occupancy
Ba1 Ba 0.000 0.000 0.000 1
Cu1 Cu 0.000 0.179 0.323 1
Cu2 Cu 0.000 0.500 0.000 1
Si1 Si 0.000 0.500 0.233 1


Number 1: total energy -9.1085 eV/atom. Number 2: total energy -3.4001 eV/atom. Number 3: total energy -4.6313 eV/atom. Number 4: total energy -4.2882 eV/atom.